First-principles (PBE-GGA) data for a relaxed structure of Er4Ga12Os, as listed in OQMD via LeMat-Bulk. Values from VASP.

Computed properties:
**SG**: Im-3m, No. 229

The structure in Quantum ESPRESSO input format:
```
&SYSTEM
  ibrav = 0, nat = 17, ntyp = 3
/
ATOMIC_SPECIES
Er 167.26 Er.upf
Ga 69.72 Ga.upf
Os 190.23 Os.upf
CELL_PARAMETERS angstrom
3.0522 -0.3038 6.7587
-3.2631 6.5988 -0.9467
-5.0649 -5.3836 -0.6715
ATOMIC_POSITIONS crystal
Er 0.5000 0.0000 0.0000
Er 0.0000 0.5000 0.0000
Er 0.0000 0.0000 0.5000
Er 0.5000 0.5000 0.5000
Ga 0.2920 0.2920 0.0000
Ga 0.7080 0.7080 0.0000
Ga 0.7500 0.5000 0.2500
Ga 0.5000 0.7500 0.2500
Ga 0.2920 0.0000 0.2920
Ga 0.0000 0.2920 0.2920
Ga 0.7500 0.2500 0.5000
Ga 0.2500 0.7500 0.5000
Ga 0.7080 0.0000 0.7080
Ga 0.0000 0.7080 0.7080
Ga 0.5000 0.2500 0.7500
Ga 0.2500 0.5000 0.7500
Os 0.0000 0.0000 0.0000
```

---

First-principles (PBE-GGA) data for a relaxed structure of ErGa3P, as listed in OQMD via LeMat-Bulk. Values from VASP.

Computed properties:
**SG**: Pm-3m, No. 221

The structure in Quantum ESPRESSO input format:
```
&SYSTEM
  ibrav = 0, nat = 5, ntyp = 3
/
ATOMIC_SPECIES
Er 167.26 Er.upf
Ga 69.72 Ga.upf
P 30.97 P.upf
CELL_PARAMETERS angstrom
4.7634 0.0000 0.0000
0.0000 4.7634 0.0000
0.0000 0.0000 4.7634
ATOMIC_POSITIONS crystal
Er 0.0000 0.0000 0.0000
Ga 0.5000 0.5000 0.0000
Ga 0.5000 0.0000 0.5000
Ga 0.0000 0.5000 0.5000
P 0.5000 0.5000 0.5000
```

---

First-principles (PBE-GGA) data for a relaxed structure of Er2GaPb, as listed in OQMD via LeMat-Bulk. Values from VASP.

Computed properties:
**SG**: Amm2, No. 38

The structure in Quantum ESPRESSO input format:
```
&SYSTEM
  ibrav = 0, nat = 4, ntyp = 3
/
ATOMIC_SPECIES
Er 167.26 Er.upf
Ga 69.72 Ga.upf
Pb 207.20 Pb.upf
CELL_PARAMETERS angstrom
-1.5017 2.4944 2.9896
5.6049 1.5756 1.5007
3.9081 4.2775 -1.6059
ATOMIC_POSITIONS crystal
Er 0.5000 0.3655 0.3655
Er 0.0000 0.6434 0.6434
Ga 0.0000 0.9070 0.9070
Pb 0.5000 0.0841 0.0841
```

---

First-principles (PBE-GGA) data for a relaxed structure of ErGaPbSe3, as listed in OQMD via LeMat-Bulk. Values from VASP.

Computed properties:
**SG**: Cmcm, No. 63

The structure in Quantum ESPRESSO input format:
```
&SYSTEM
  ibrav = 0, nat = 12, ntyp = 4
/
ATOMIC_SPECIES
Er 167.26 Er.upf
Ga 69.72 Ga.upf
Pb 207.20 Pb.upf
Se 78.96 Se.upf
CELL_PARAMETERS angstrom
2.0083 -7.2844 0.0000
2.0083 7.2844 0.0000
0.0000 0.0000 11.2989
ATOMIC_POSITIONS crystal
Er 0.0000 0.0000 0.0000
Er 0.0000 0.0000 0.5000
Ga 0.3649 0.6351 0.2500
Ga 0.6351 0.3649 0.7500
Pb 0.6937 0.3063 0.2500
Pb 0.3063 0.6937 0.7500
Se 0.6361 0.3639 0.0001
Se 0.9852 0.0148 0.2500
Se 0.6361 0.3639 0.4999
Se 0.3639 0.6361 0.5001
Se 0.0148 0.9852 0.7500
Se 0.3639 0.6361 0.9999
```

---

First-principles (PBE-GGA) data for a relaxed structure of Er2Ga8Pd, as listed in OQMD via LeMat-Bulk. Values from VASP.

Computed properties:
**SG**: P4/mmm, No. 123

The structure in Quantum ESPRESSO input format:
```
&SYSTEM
  ibrav = 0, nat = 11, ntyp = 3
/
ATOMIC_SPECIES
Er 167.26 Er.upf
Ga 69.72 Ga.upf
Pd 106.42 Pd.upf
CELL_PARAMETERS angstrom
-3.9364 0.5598 1.6964
-1.5907 -2.9663 -2.7123
2.0765 -7.9044 7.4267
ATOMIC_POSITIONS crystal
Er 0.0000 0.0000 0.3118
Er 0.0000 0.0000 0.6882
Ga 0.5000 0.0000 0.1282
Ga 0.0000 0.5000 0.1282
Ga 0.5000 0.5000 0.3086
Ga 0.5000 0.0000 0.5000
Ga 0.0000 0.5000 0.5000
Ga 0.5000 0.5000 0.6914
Ga 0.5000 0.0000 0.8718
Ga 0.0000 0.5000 0.8718
Pd 0.0000 0.0000 0.0000
```

---

First-principles (PBE-GGA) data for a relaxed structure of ErGaPd, as listed in OQMD via LeMat-Bulk. Values from VASP.

Computed properties:
**SG**: F-43m, No. 216

The structure in Quantum ESPRESSO input format:
```
&SYSTEM
  ibrav = 0, nat = 3, ntyp = 3
/
ATOMIC_SPECIES
Er 167.26 Er.upf
Ga 69.72 Ga.upf
Pd 106.42 Pd.upf
CELL_PARAMETERS angstrom
-2.2562 -3.0358 2.7048
-4.3570 -1.2489 -1.0390
-0.8800 -4.2930 -1.5552
ATOMIC_POSITIONS crystal
Er 0.0000 0.0000 0.0000
Ga 0.2500 0.2500 0.2500
Pd 0.7500 0.7500 0.7500
```

---

First-principles (PBE-GGA) data for a relaxed structure of ErGaPd, as listed in OQMD via LeMat-Bulk. Values from VASP.

Computed properties:
**SG**: F-43m, No. 216

The structure in Quantum ESPRESSO input format:
```
&SYSTEM
  ibrav = 0, nat = 3, ntyp = 3
/
ATOMIC_SPECIES
Er 167.26 Er.upf
Ga 69.72 Ga.upf
Pd 106.42 Pd.upf
CELL_PARAMETERS angstrom
0.0000 3.2161 3.2161
3.2161 0.0000 3.2161
3.2161 3.2161 0.0000
ATOMIC_POSITIONS crystal
Er 0.2500 0.2500 0.2500
Ga 0.7500 0.7500 0.7500
Pd 0.0000 0.0000 0.0000
```

---

First-principles (PBE-GGA) data for a relaxed structure of ErGaPd, as listed in OQMD via LeMat-Bulk. Values from VASP.

Computed properties:
**SG**: Pnma, No. 62

The structure in Quantum ESPRESSO input format:
```
&SYSTEM
  ibrav = 0, nat = 12, ntyp = 3
/
ATOMIC_SPECIES
Er 167.26 Er.upf
Ga 69.72 Ga.upf
Pd 106.42 Pd.upf
CELL_PARAMETERS angstrom
6.8654 0.0000 0.0000
0.0000 4.4567 0.0000
0.0000 0.0000 7.6309
ATOMIC_POSITIONS crystal
Er 0.4858 0.7500 0.2020
Er 0.9858 0.7500 0.2980
Er 0.0142 0.2500 0.7020
Er 0.5142 0.2500 0.7980
Ga 0.1837 0.2500 0.0789
Ga 0.6837 0.2500 0.4211
Ga 0.3163 0.7500 0.5789
Ga 0.8163 0.7500 0.9211
Pd 0.7816 0.2500 0.0922
Pd 0.2816 0.2500 0.4078
Pd 0.7184 0.7500 0.5922
Pd 0.2184 0.7500 0.9078
```

---

| no. | final energy (eV per atom) | total magnetic moment (Bohr magnetons per cell) |
| --- | --- | --- |
| 1 | -4.391 | 0.01 |
| 2 | -3.685 | 0.00 |
| 3 | -4.485 | 0.01 |
| 4 | -4.524 | 0.01 |
| 5 | -4.014 | 0.00 |
| 6 | -4.437 | 0.01 |
| 7 | -4.936 | 0.23 |
| 8 | -5.162 | 0.01 |